# CdNiP2

An optimized crystal structure of CdNiP2 (PBE, the Alexandria database).

The calculation puts the uncorrected energy at -4.310 eV per atom. The density of states at the Fermi level comes out at 1.3 states/eV/f.u. As for the formation energy: 69 meV per atom.

a = 2.6963 Å, b = 3.5558 Å, c = 7.2369 Å
α = 90.00°, β = 90.00°, γ = 90.00°
Last column: nearest neighbours and their distance in Å.
Space group Pmm2 (No. 25)
Inequivalent atoms, fractional coordinates:
Cd (0.0000, 0.0000, 0.0000) x1  5 P 2.60-2.79, 2 Cd 2.70
Ni (0.5000, 0.5000, 0.4600) x1  5 P 2.23-2.35
P (0.0000, 0.0000, 0.3590) x1  4 Ni 2.35, 1 Cd 2.60
P (0.5000, 0.5000, 0.7676) x1  1 Ni 2.23


# AcInPdPt3

An optimized crystal structure of AcInPdPt3 (PBE, the Alexandria database).

The calculation puts the uncorrected energy at -5.560 eV per atom. The density of states at the Fermi level comes out at 2.4 states/eV/f.u. As for the formation energy: -533 meV per atom.

a = 5.8606 Å, b = 11.9613 Å, c = 7.6129 Å
α = 90.00°, β = 90.00°, γ = 90.00°
Last column: nearest neighbours and their distance in Å.
Space group Cmcm (No. 63)
Inequivalent atoms, fractional coordinates:
Ac (0.0000, 0.1709, 0.2500) x4  1 Pd 2.79, 2 Pt 2.95
In (0.0000, 0.1322, 0.7500) x4  5 Pt 2.71-2.86, 2 Pd 2.96
Pd (0.0000, 0.4045, 0.2500) x4  5 Pt 2.68-2.83, 1 Ac 2.79, 2 In 2.96
Pt (0.0000, 0.3585, 0.7500) x4  1 In 2.71, 1 Pd 2.83, 2 Ac 2.95, 4 Pt 2.96
Pt (0.2436, 0.0000, 0.0000) x8  2 Pd 2.68, 3 Pt 2.86-2.96, 2 In 2.86


# PmHo5Tl2

An optimized crystal structure of PmHo5Tl2 (PBE, the Alexandria database).

The calculation puts the uncorrected energy at -4.169 eV per atom. The density of states at the Fermi level comes out at 11.1 states/eV/f.u. As for the formation energy: -123 meV per atom.

a = 3.6406 Å, b = 10.4270 Å, c = 12.6871 Å
α = 90.00°, β = 90.00°, γ = 90.00°
Last column: nearest neighbours and their distance in Å.
Space group Immm (No. 71)
Inequivalent atoms, fractional coordinates:
Pm (0.0000, 0.0000, 0.0000) x2  4 Tl 3.55, 2 Pm 3.64, 8 Ho 3.78
Ho (0.0000, 0.2268, 0.3659) x8  3 Tl 3.15-3.38, 5 Ho 3.40-3.49
Ho (0.0000, 0.5000, 0.0000) x2  2 Tl 3.30, 10 Ho 3.44-3.64
Tl (0.0000, 0.5000, 0.2599) x4  7 Ho 3.15-3.38


# Ni2MoRhN

An optimized crystal structure of Ni2MoRhN (PBE, the Alexandria database).

The formation energy (no corrections) is -0.032 eV/atom. The calculation puts the uncorrected energy at -7.646 eV per atom. The density of states at the Fermi level comes out at 5.0 states/eV/f.u.

a = 3.8165 Å, b = 3.8165 Å, c = 4.0512 Å
α = 90.00°, β = 90.00°, γ = 90.00°
Last column: nearest neighbours and their distance in Å.
Space group P4/mmm (No. 123)
Inequivalent atoms, fractional coordinates:
Ni (0.0000, 0.5000, 0.0000) x2  2 N 1.91
Mo (0.0000, 0.0000, 0.5000) x1  2 N 2.03
Rh (0.5000, 0.5000, 0.5000) x1  4 Mo 2.70, 8 Ni 2.78
N (0.0000, 0.0000, 0.0000) x1  4 Ni 1.91, 2 Mo 2.03


# K3Si4Pt7

An optimized crystal structure of K3Si4Pt7 (PBE, the Alexandria database).

The formation energy (no corrections) is -0.425 eV/atom. The calculation puts the uncorrected energy at -5.230 eV per atom. The density of states at the Fermi level comes out at 5.4 states/eV/f.u.

a = 16.7901 Å, b = 4.0653 Å, c = 11.4697 Å
α = 90.00°, β = 132.56°, γ = 90.00°
Last column: nearest neighbours and their distance in Å.
Space group C2/m (No. 12)
Inequivalent atoms, fractional coordinates:
K (0.0000, 0.0000, 0.0000) x2  6 Si 3.34-3.70, 2 K 3.39
K (0.2264, 0.5000, 0.7212) x4  10 Pt 3.21-3.55, 4 Si 3.37, 1 K 3.39
Si (0.1058, 0.0000, 0.4068) x4  6 Pt 2.43-2.62
Si (0.1383, 0.5000, 0.9607) x4  4 Pt 2.36-2.42
Pt (0.0000, 0.0000, 0.5000) x2  2 Si 2.62, 4 Pt 2.81
Pt (0.0122, 0.5000, 0.6812) x4  3 Si 2.36-2.52
Pt (0.1692, 0.0000, 0.8867) x4  3 Si 2.39-2.42
Pt (0.1840, 0.5000, 0.4034) x4  3 Si 2.43-2.61, 2 Pt 2.70


# TaAsN3

An optimized crystal structure of TaAsN3 (PBE, the Alexandria database).

The formation energy (no corrections) is 0.692 eV/atom. The calculation puts the uncorrected energy at -7.604 eV per atom. The density of states at the Fermi level comes out at 2.3 states/eV/f.u.

a = 4.0487 Å, b = 4.0487 Å, c = 4.0487 Å
α = 90.00°, β = 90.00°, γ = 90.00°
Last column: nearest neighbours and their distance in Å.
Space group Pm-3m (No. 221)
Inequivalent atoms, fractional coordinates:
Ta (0.0000, 0.0000, 0.0000) x1  6 N 2.02
As (0.5000, 0.5000, 0.5000) x1  12 N 2.86
N (0.0000, 0.0000, 0.5000) x3  2 Ta 2.02